--- a ---
Mn2WCl | PBE | relaxed

Values from the calculation:
- M_tot: 1.2513 μB/atom

Cell: 2.911 4.356 4.656 Å, 90.00 90.00 90.00°
Fractional coordinates of all 4 atoms:
Mn 0.000 0.000 0.000
Mn 0.500 0.000 0.500
W 0.000 0.500 0.500
Cl 0.500 0.500 0.000

=====

--- b ---
Mn2WCl | PBE | relaxed

Values from the calculation:
- M_tot: 0.2451 μB/atom

Cell: 6.137 6.137 6.137 Å, 128.00 128.00 76.62°
Fractional coordinates of all 8 atoms:
Mn 0.096 0.625 0.971
Mn 0.375 0.346 0.471
Mn 0.654 0.125 0.029
Mn 0.875 0.904 0.529
W 0.250 0.750 0.500
W 0.500 0.500 0.000
Cl 0.000 0.000 0.000
Cl 0.750 0.250 0.500

=====

Most stable one: a, least stable one: b.